[1]
First-principles (PBE) data for a relaxed structure of ZrGa2Ag, as listed in the Alexandria database.

## Properties
- Fermi-level density of states: 0.70 states/eV/atom
- Relative energy among the computed polymorphs: 232 meV per atom
- Total magnetic moment: 0.000 μB/cell
- Space group: Fm-3m

```
ZrGa2Ag
1.0
0.000 3.310 3.310
3.310 0.000 3.310
3.310 3.310 0.000
Zr Ga Ag
1 2 1
Cartesian
0.000 0.000 0.000
1.655 1.655 1.655
4.965 4.965 4.965
3.310 3.310 3.310
```

---

[2]
First-principles (PBE) data for a relaxed structure of BaAcPr2, as listed in the Alexandria database.

## Properties
- Fermi-level density of states: 1.83 states/eV/atom
- Relative energy among the computed polymorphs: 48 meV per atom
- Total magnetic moment: 0.000 μB/cell
- Space group: P4/mmm

```
BaAcPr2
1.0
5.568 0.000 0.000
0.000 5.568 0.000
0.000 0.000 5.458
Ba Ac Pr
1 1 2
Cartesian
0.000 0.000 0.000
2.784 2.784 0.000
0.000 2.784 2.729
2.784 0.000 2.729
```

---

[3]
First-principles (PBE) data for a relaxed structure of ErTmBeOs, as listed in the Alexandria database.

## Properties
- Fermi-level density of states: 0.82 states/eV/atom
- E_tot: -6.131 eV/atom
- Total magnetic moment: 0.000 μB/cell
- Space group: F-43m

```
ErTmBeOs
1.0
0.000 3.374 3.374
3.374 0.000 3.374
3.374 3.374 0.000
Er Tm Be Os
1 1 1 1
Cartesian
0.000 0.000 0.000
3.374 3.374 3.374
5.060 5.060 5.060
1.687 1.687 1.687
```

---

[4]
First-principles (PBE) data for a relaxed structure of Ho3Ga9Pt2, as listed in the Alexandria database.

## Properties
- Fermi-level density of states: 0.31 states/eV/atom
- E_tot: -4.476 eV/atom
- Total magnetic moment: 0.000 μB/cell
- Space group: Immm

```
Ho3Ga9Pt2
1.0
-2.111 5.009 6.138
2.111 -5.009 6.138
2.111 5.009 -6.138
Ho Ga Pt
3 9 2
Cartesian
0.000 0.000 0.000
0.000 0.000 3.968
0.000 0.000 8.308
2.111 -1.250 2.065
2.111 -2.218 4.542
2.111 1.250 2.065
0.000 2.791 1.596
0.000 5.009 0.000
2.111 2.218 4.542
0.000 3.759 4.073
0.000 7.227 1.596
0.000 6.259 4.073
2.111 2.759 0.000
0.000 2.250 6.138
```

---

[5]
First-principles (PBE) data for a relaxed structure of Cs2YAg2I6, as listed in the Alexandria database.

## Properties
- E_form (uncorrected): -0.99 eV/atom
- Fermi-level density of states: 0.29 states/eV/atom
- Total magnetic moment: 0.000 μB/cell
- Space group: C2/m

```
Cs2YAg2I6
1.0
6.884 -4.736 0.000
6.884 4.736 0.000
-3.662 0.000 7.948
Cs Y Ag I
2 1 2 6
Cartesian
2.389 0.000 1.334
7.716 0.000 6.614
-1.831 0.000 3.974
4.032 0.000 4.918
6.073 0.000 3.030
5.681 2.628 1.859
1.034 0.000 5.008
4.424 2.628 6.090
5.681 -2.628 1.859
9.071 0.000 2.940
4.424 -2.628 6.090
```

---

[6]
First-principles (PBE) data for a relaxed structure of Ce3YSb3, as listed in the Alexandria database.

## Properties
- E_form (uncorrected): -0.79 eV/atom
- Fermi-level density of states: 3.40 states/eV/atom
- Total magnetic moment: 8.260 μB/cell
- Space group: R-3

```
Ce3YSb3
1.0
4.591 2.651 6.261
-4.591 2.651 6.261
0.000 -5.301 6.261
Ce Y Sb
6 2 6
Cartesian
-1.137 -3.262 7.889
-3.393 -0.646 10.893
-2.256 2.615 7.889
2.256 -2.615 10.893
3.393 0.646 7.889
1.137 3.262 10.893
0.000 0.000 6.219
0.000 0.000 12.564
-2.809 -0.471 7.740
-0.997 -2.668 11.043
1.812 -2.197 7.740
-1.812 2.197 11.043
0.997 2.668 7.740
2.809 0.471 11.043
```

---

[7]
First-principles (PBE) data for a relaxed structure of Ce2ZnGa3Ir4, as listed in the Alexandria database.

## Properties
- Fermi-level density of states: 1.23 states/eV/atom
- E_tot: -6.406 eV/atom
- Total magnetic moment: 1.313 μB/cell
- Space group: P-4m2

```
Ce2ZnGa3Ir4
1.0
4.211 0.000 0.000
0.000 4.211 0.000
0.000 0.000 10.490
Ce Zn Ga Ir
2 1 3 4
Cartesian
0.000 2.106 2.538
2.106 0.000 7.952
0.000 0.000 5.245
0.000 2.106 9.158
2.106 0.000 1.333
2.106 2.106 5.245
0.000 0.000 0.000
0.000 2.106 6.699
2.106 0.000 3.791
2.106 2.106 0.000
```

---

[8]
First-principles (PBE) data for a relaxed structure of La2PrAu2, as listed in the Alexandria database.

## Properties
- Fermi-level density of states: 1.11 states/eV/atom
- E_tot: -4.889 eV/atom
- Total magnetic moment: 0.000 μB/cell
- Space group: P4/mbm

```
La2PrAu2
1.0
8.560 0.000 0.000
0.000 8.560 0.000
0.000 0.000 3.983
La Pr Au
4 2 4
Cartesian
1.413 2.867 0.000
2.867 7.147 0.000
5.693 1.413 0.000
7.147 5.693 0.000
0.000 0.000 1.991
4.280 4.280 1.991
1.103 5.383 1.991
3.177 1.103 1.991
5.383 7.457 1.991
7.457 3.177 1.991
```